Entry from Alexandria via LeMat-Bulk: a relaxed PaAgI2O8 crystal (PBE-GGA).

Properties
**ΔE_f (raw)**: -1.077 eV per atom
**V**: 237.5 Å³/f.u.

a = 6.521 Å, b = 6.521 Å, c = 6.448 Å
α = 90.00°, β = 90.00°, γ = 120.00°
Atoms (fractional coordinates):
O 0.309 0.155 0.204
O 0.667 0.333 0.504
O 0.155 0.309 0.796
O 0.845 0.155 0.204
O 0.691 0.845 0.796
O 0.155 0.845 0.796
O 0.333 0.667 0.496
O 0.845 0.691 0.204
Ag 0.000 0.000 0.500
I 0.667 0.333 0.229
I 0.333 0.667 0.771
Pa 0.000 0.000 0.000

Entry from Alexandria via LeMat-Bulk: a relaxed PaAgIO5 crystal (PBE-GGA).

Properties
**ΔE_f (raw)**: -1.500 eV per atom
**V**: 135.9 Å³/f.u.

a = 5.952 Å, b = 5.952 Å, c = 8.517 Å
α = 101.26°, β = 101.26°, γ = 107.43°
Atoms (fractional coordinates):
Ag 0.694 0.306 0.750
Ag 0.306 0.694 0.250
O 0.222 0.787 0.492
O 0.377 0.333 0.106
O 0.033 0.967 0.750
O 0.778 0.213 0.508
O 0.213 0.778 0.008
O 0.667 0.623 0.394
O 0.787 0.222 0.992
O 0.967 0.033 0.250
O 0.333 0.377 0.606
O 0.623 0.667 0.894
Pa 0.000 0.000 0.500
Pa 0.000 0.000 0.000
I 0.332 0.668 0.750
I 0.668 0.332 0.250

Entry from Alexandria via LeMat-Bulk: a relaxed PaAg2IO6 crystal (PBE-GGA).

Properties
**ΔE_f (raw)**: -1.305 eV per atom
**V**: 146.4 Å³/f.u.

a = 5.831 Å, b = 5.824 Å, c = 6.006 Å
α = 61.33°, β = 60.92°, γ = 59.81°
Atoms (fractional coordinates):
Ag 0.560 0.568 0.296
Ag 0.053 0.063 0.809
O 0.471 0.680 0.785
O 0.580 0.159 0.302
O 0.977 0.550 0.298
O 0.654 0.061 0.813
O 0.078 0.454 0.823
O 0.174 0.993 0.283
I 0.303 0.316 0.054
Pa 0.811 0.819 0.552

Question: Which of these has the highest ΔE_f (raw)?
Answer: PaAgI2O8